Below is a geometry-optimized Cs2PuCrBr6 structure, with properties calculated at the PBE-GGA level.

magnetization	0.9	μB/cell
E	-4.942	eV/atom

```
data_Cs2PuCrBr6
_cell_length_a 7.9548
_cell_length_b 7.9548
_cell_length_c 6.9145
_cell_angle_alpha 90.00
_cell_angle_beta 90.00
_cell_angle_gamma 120.00
_space_group_name_H-M_alt 'P -3 m 1'
_space_group_IT_number 164
_space_group_name_Hall '-P 3 2"'
loop_
_atom_site_label
_atom_site_type_symbol
_atom_site_fract_x
_atom_site_fract_y
_atom_site_fract_z
Cs1 Cs 0.3333 0.6667 0.2240
Pu1 Pu 0.0000 0.0000 0.5000
Cr1 Cr 0.0000 0.0000 0.0000
Br1 Br 0.1645 0.3290 0.7661
```